# SmTlCd4 PBE optimized geometry
# ΔH_f (0 K) ... -0.114 eV per atom
# ΔE to the lowest computed polymorph ... 84 meV/atom
data_SmTlCd4
_chemical_formula_sum 'Sm1 Tl1 Cd4'
_cell_length_a 6.0032
_cell_length_b 6.0032
_cell_length_c 6.0032
_cell_angle_alpha 60.00
_cell_angle_beta 60.00
_cell_angle_gamma 60.00
_symmetry_space_group_name_H-M 'P 1'
_symmetry_Int_Tables_number 1
loop_
_symmetry_equiv_pos_as_xyz
'x,y,z'
loop_
_atom_site_label
_atom_site_fract_x
_atom_site_fract_y
_atom_site_fract_z
_atom_site_occupancy
Cd1 0.1266 0.6245 0.6245 1
Cd2 0.6245 0.6245 0.1266 1
Cd3 0.6245 0.1266 0.6245 1
Cd4 0.6245 0.6245 0.6245 1
Sm1 0.2500 0.2500 0.2500 1
Tl1 0.0000 0.0000 0.0000 1



# ZrSnBi2 PBE optimized geometry
# ΔH_f (0 K) ... -0.077 eV per atom
data_ZrSnBi2
_chemical_formula_sum 'Zr1 Sn1 Bi2'
_cell_length_a 3.4500
_cell_length_b 3.4500
_cell_length_c 11.5656
_cell_angle_alpha 81.42
_cell_angle_beta 81.42
_cell_angle_gamma 60.00
_symmetry_space_group_name_H-M 'P 1'
_symmetry_Int_Tables_number 1
loop_
_symmetry_equiv_pos_as_xyz
'x,y,z'
loop_
_atom_site_label
_atom_site_fract_x
_atom_site_fract_y
_atom_site_fract_z
_atom_site_occupancy
Zr1 0.5000 0.5000 0.5000 1
Bi1 0.9039 0.9039 0.2882 1
Bi2 0.0961 0.0961 0.7118 1
Sn1 0.0000 0.0000 0.0000 1



# YAgPt4 PBE optimized geometry
# ΔH_f (0 K) ... -0.716 eV per atom
data_YAgPt4
_chemical_formula_sum 'Y1 Ag1 Pt4'
_cell_length_a 5.3599
_cell_length_b 5.3599
_cell_length_c 5.3599
_cell_angle_alpha 60.00
_cell_angle_beta 60.00
_cell_angle_gamma 60.00
_symmetry_space_group_name_H-M 'P 1'
_symmetry_Int_Tables_number 1
loop_
_symmetry_equiv_pos_as_xyz
'x,y,z'
loop_
_atom_site_label
_atom_site_fract_x
_atom_site_fract_y
_atom_site_fract_z
_atom_site_occupancy
Pt1 0.1236 0.6255 0.6255 1
Pt2 0.6255 0.6255 0.6255 1
Pt3 0.6255 0.1236 0.6255 1
Pt4 0.6255 0.6255 0.1236 1
Ag1 0.0000 0.0000 0.0000 1
Y1 0.2500 0.2500 0.2500 1



# PaTePbO5 PBE optimized geometry
# Energy relative to the elements, uncorrected ... -1971 meV per atom
data_PaTePbO5
_chemical_formula_sum 'Pa2 Te2 Pb2 O10'
_cell_length_a 6.1515
_cell_length_b 6.1515
_cell_length_c 8.7200
_cell_angle_alpha 100.73
_cell_angle_beta 100.73
_cell_angle_gamma 112.89
_symmetry_space_group_name_H-M 'P 1'
_symmetry_Int_Tables_number 1
loop_
_symmetry_equiv_pos_as_xyz
'x,y,z'
loop_
_atom_site_label
_atom_site_fract_x
_atom_site_fract_y
_atom_site_fract_z
_atom_site_occupancy
O1 0.0354 0.9646 0.2500 1
O2 0.8212 0.2288 0.0299 1
O3 0.1788 0.7712 0.9701 1
O4 0.2288 0.8212 0.5299 1
O5 0.3337 0.3740 0.5992 1
O6 0.6663 0.6260 0.4008 1
O7 0.7712 0.1788 0.4701 1
O8 0.6260 0.6663 0.9008 1
O9 0.3740 0.3337 0.0992 1
O10 0.9646 0.0354 0.7500 1
Pb1 0.2906 0.7094 0.2500 1
Pb2 0.7094 0.2906 0.7500 1
Te1 0.6596 0.3404 0.2500 1
Te2 0.3404 0.6596 0.7500 1
Pa1 0.0000 0.0000 0.0000 1
Pa2 0.0000 0.0000 0.5000 1



# Ca2CoNi PBE optimized geometry
# ΔH_f (0 K) ... 0.209 eV per atom
# ΔE to the lowest computed polymorph ... 177 meV/atom
data_Ca2CoNi
_chemical_formula_sum 'Ca2 Co1 Ni1'
_cell_length_a 3.3173
_cell_length_b 3.3174
_cell_length_c 8.0930
_cell_angle_alpha 90.00
_cell_angle_beta 90.00
_cell_angle_gamma 90.03
_symmetry_space_group_name_H-M 'P 1'
_symmetry_Int_Tables_number 1
loop_
_symmetry_equiv_pos_as_xyz
'x,y,z'
loop_
_atom_site_label
_atom_site_fract_x
_atom_site_fract_y
_atom_site_fract_z
_atom_site_occupancy
Ca1 0.0000 0.0000 0.9179 1
Ca2 0.5000 0.5000 0.3302 1
Ni1 0.5000 0.5000 0.6683 1
Co1 0.0000 0.0000 0.5835 1



# NdDyInGa PBE optimized geometry
# ΔH_f (0 K) ... -0.498 eV per atom
# ΔE to the lowest computed polymorph ... 25 meV/atom
data_NdDyInGa
_chemical_formula_sum 'Nd1 Dy1 In1 Ga1'
_cell_length_a 5.2814
_cell_length_b 5.2814
_cell_length_c 5.2814
_cell_angle_alpha 60.00
_cell_angle_beta 60.00
_cell_angle_gamma 60.00
_symmetry_space_group_name_H-M 'P 1'
_symmetry_Int_Tables_number 1
loop_
_symmetry_equiv_pos_as_xyz
'x,y,z'
loop_
_atom_site_label
_atom_site_fract_x
_atom_site_fract_y
_atom_site_fract_z
_atom_site_occupancy
Nd1 0.2500 0.2500 0.2500 1
In1 0.0000 0.0000 0.0000 1
Dy1 0.7500 0.7500 0.7500 1
Ga1 0.5000 0.5000 0.5000 1



# Ho2AlNi2 PBE optimized geometry
# ΔH_f (0 K) ... -0.564 eV per atom
data_Ho2AlNi2
_chemical_formula_sum 'Ho2 Al1 Ni2'
_cell_length_a 4.1680
_cell_length_b 5.3657
_cell_length_c 5.3657
_cell_angle_alpha 60.09
_cell_angle_beta 67.15
_cell_angle_gamma 67.15
_symmetry_space_group_name_H-M 'P 1'
_symmetry_Int_Tables_number 1
loop_
_symmetry_equiv_pos_as_xyz
'x,y,z'
loop_
_atom_site_label
_atom_site_fract_x
_atom_site_fract_y
_atom_site_fract_z
_atom_site_occupancy
Ni1 0.5000 0.7340 0.2660 1
Ni2 0.5000 0.2660 0.7340 1
Ho1 0.2022 0.2978 0.2978 1
Ho2 0.7978 0.7022 0.7022 1
Al1 0.0000 0.0000 0.0000 1



# Ho3PuSe6 PBE optimized geometry
# Energy relative to the elements, uncorrected ... -1754 meV per atom
data_Ho3PuSe6
_chemical_formula_sum 'Ho6 Pu2 Se12'
_cell_length_a 4.1073
_cell_length_b 11.5782
_cell_length_c 11.7857
_cell_angle_alpha 109.08
_cell_angle_beta 90.00
_cell_angle_gamma 90.00
_symmetry_space_group_name_H-M 'P 1'
_symmetry_Int_Tables_number 1
loop_
_symmetry_equiv_pos_as_xyz
'x,y,z'
loop_
_atom_site_label
_atom_site_fract_x
_atom_site_fract_y
_atom_site_fract_z
_atom_site_occupancy
Se1 0.2500 0.2565 0.7242 1
Se2 0.7500 0.9176 0.0990 1
Se3 0.7500 0.3955 0.0630 1
Se4 0.7500 0.8049 0.7502 1
Se5 0.2500 0.5195 0.3847 1
Se6 0.2500 0.6045 0.9370 1
Se7 0.2500 0.0824 0.9010 1
Se8 0.2500 0.8838 0.5377 1
Se9 0.7500 0.7435 0.2758 1
Se10 0.7500 0.1162 0.4623 1
Se11 0.2500 0.1951 0.2498 1
Se12 0.7500 0.4805 0.6153 1
Pu1 0.7500 0.0457 0.6899 1
Pu2 0.2500 0.9543 0.3101 1
Ho1 0.7500 0.1577 0.0824 1
Ho2 0.2500 0.5662 0.1661 1
Ho3 0.2500 0.8423 0.9176 1
Ho4 0.2500 0.3200 0.4990 1
Ho5 0.7500 0.4338 0.8339 1
Ho6 0.7500 0.6800 0.5010 1



# Fe2TcRh9 PBE optimized geometry
# ΔH_f (0 K) ... -0.066 eV per atom
data_Fe2TcRh9
_chemical_formula_sum 'Fe2 Tc1 Rh9'
_cell_length_a 3.8190
_cell_length_b 3.8190
_cell_length_c 11.4681
_cell_angle_alpha 90.00
_cell_angle_beta 90.00
_cell_angle_gamma 90.00
_symmetry_space_group_name_H-M 'P 1'
_symmetry_Int_Tables_number 1
loop_
_symmetry_equiv_pos_as_xyz
'x,y,z'
loop_
_atom_site_label
_atom_site_fract_x
_atom_site_fract_y
_atom_site_fract_z
_atom_site_occupancy
Rh1 0.5000 0.0000 0.1663 1
Rh2 0.0000 0.5000 0.5000 1
Rh3 0.0000 0.5000 0.1663 1
Rh4 0.5000 0.5000 0.6671 1
Rh5 0.5000 0.0000 0.8337 1
Rh6 0.0000 0.5000 0.8337 1
Rh7 0.5000 0.5000 0.3329 1
Rh8 0.5000 0.5000 0.0000 1
Rh9 0.5000 0.0000 0.5000 1
Fe1 0.0000 0.0000 0.6625 1
Fe2 0.0000 0.0000 0.3375 1
Tc1 0.0000 0.0000 0.0000 1



# CsNbTlI6 PBE optimized geometry
# Energy relative to the elements, uncorrected ... -714 meV per atom
data_CsNbTlI6
_chemical_formula_sum 'Cs1 Nb1 Tl1 I6'
_cell_length_a 8.3862
_cell_length_b 8.3865
_cell_length_c 7.9243
_cell_angle_alpha 90.01
_cell_angle_beta 89.99
_cell_angle_gamma 59.96
_symmetry_space_group_name_H-M 'P 1'
_symmetry_Int_Tables_number 1
loop_
_symmetry_equiv_pos_as_xyz
'x,y,z'
loop_
_atom_site_label
_atom_site_fract_x
_atom_site_fract_y
_atom_site_fract_z
_atom_site_occupancy
I1 0.3420 0.6031 0.2932 1
I2 0.6036 0.0545 0.2936 1
I3 0.0545 0.6036 0.7064 1
I4 0.6031 0.3420 0.7067 1
I5 0.0549 0.3419 0.2933 1
I6 0.3418 0.0550 0.7067 1
Tl1 0.6665 0.6666 0.5000 1
Nb1 0.3333 0.3333 0.5000 1
Cs1 0.0000 0.0000 0.0000 1



# TlFeTe2 PBE optimized geometry
# Energy relative to the elements, uncorrected ... 242 meV per atom
data_TlFeTe2
_chemical_formula_sum 'Tl1 Fe1 Te2'
_cell_length_a 3.2526
_cell_length_b 3.2526
_cell_length_c 9.8055
_cell_angle_alpha 90.00
_cell_angle_beta 90.00
_cell_angle_gamma 90.00
_symmetry_space_group_name_H-M 'P 1'
_symmetry_Int_Tables_number 1
loop_
_symmetry_equiv_pos_as_xyz
'x,y,z'
loop_
_atom_site_label
_atom_site_fract_x
_atom_site_fract_y
_atom_site_fract_z
_atom_site_occupancy
Fe1 0.5000 0.5000 0.7847 1
Tl1 0.0000 0.0000 0.5536 1
Te1 0.5000 0.5000 0.2546 1
Te2 0.0000 0.0000 0.9071 1



# CsBaNa PBE optimized geometry
# ΔH_f (0 K) ... 0.119 eV per atom
# ΔE to the lowest computed polymorph ... 30 meV/atom
data_CsBaNa
_chemical_formula_sum 'Cs1 Ba1 Na1'
_cell_length_a 4.6488
_cell_length_b 4.6488
_cell_length_c 10.9121
_cell_angle_alpha 90.00
_cell_angle_beta 90.00
_cell_angle_gamma 120.00
_symmetry_space_group_name_H-M 'P 1'
_symmetry_Int_Tables_number 1
loop_
_symmetry_equiv_pos_as_xyz
'x,y,z'
loop_
_atom_site_label
_atom_site_fract_x
_atom_site_fract_y
_atom_site_fract_z
_atom_site_occupancy
Ba1 0.3333 0.6667 0.6313 1
Cs1 0.0000 0.0000 0.0197 1
Na1 0.6667 0.3333 0.3489 1